1.
# BaCoW

A geometry-optimized BaCoW structure (GGA-PBE, the Alexandria database).

* total energy: -5.61 eV/atom
* ΔH_f (0 K): 1.72 eV per atom
* total moment: 9.532 Bohr magnetons per cell
* volume: 23.9 Å³ per atom

Cell lengths 6.592, 6.592, 6.592 Å; angles 90.00, 90.00, 90.00 degrees
Space group F-43m (No. 216)
Inequivalent atoms, fractional coordinates:
1 Ba 0.000 0.000 0.000 (multiplicity 4)
2 Co 0.250 0.250 0.250 (multiplicity 4)
3 W 0.000 0.000 0.500 (multiplicity 4)

=====

2.
# BaCoW2

A geometry-optimized BaCoW2 structure (GGA-PBE, the Alexandria database).

* total energy: -7.36 eV/atom
* ΔH_f (0 K): 1.38 eV per atom
* total moment: 4.637 Bohr magnetons per cell
* volume: 18.9 Å³ per atom

Cell lengths 6.718, 6.718, 6.718 Å; angles 90.00, 90.00, 90.00 degrees
Space group F-43m (No. 216)
Inequivalent atoms, fractional coordinates:
1 Ba 0.000 0.000 0.000 (multiplicity 4)
2 Co 0.250 0.250 0.250 (multiplicity 4)
3 W 0.000 0.000 0.500 (multiplicity 4)
4 W 0.250 0.250 0.750 (multiplicity 4)

=====

3.
# BaCoW2

A geometry-optimized BaCoW2 structure (GGA-PBE, the Alexandria database).

* total energy: -7.21 eV/atom
* ΔH_f (0 K): 1.52 eV per atom
* total moment: 0.183 Bohr magnetons per cell
* volume: 19.8 Å³ per atom

Cell lengths 3.819, 3.819, 5.431 Å; angles 90.00, 90.00, 90.00 degrees
Space group P4/mmm (No. 123)
Inequivalent atoms, fractional coordinates:
1 Ba 0.000 0.000 0.000 (multiplicity 1)
2 Co 0.500 0.500 0.000 (multiplicity 1)
3 W 0.000 0.500 0.500 (multiplicity 2)

=====

4.
# BaZn2CoW

A geometry-optimized BaZn2CoW structure (GGA-PBE, the Alexandria database).

* total energy: -2.31 eV/atom
* ΔH_f (0 K): 2.59 eV per atom
* total moment: 0.001 Bohr magnetons per cell
* volume: 25.2 Å³ per atom

Cell lengths 5.235, 5.235, 4.600 Å; angles 90.00, 90.00, 90.00 degrees
Space group P4/mmm (No. 123)
Inequivalent atoms, fractional coordinates:
1 Ba 0.000 0.000 0.000 (multiplicity 1)
2 Zn 0.000 0.500 0.000 (multiplicity 2)
3 Co 0.000 0.000 0.500 (multiplicity 1)
4 W 0.500 0.500 0.500 (multiplicity 1)

=====

Q: Among the records above, which one has the highest total energy?
A: BaZn2CoW